First-principles (PBE) data for a geometry-optimized AsP2W structure, as listed in Alexandria via LeMat-Bulk.

Output
The formation energy from the elements comes out at 0.44 eV per atom. The density of states at the Fermi level comes out at 2.9 states/eV/f.u. As for the calculated volume: 134 Å³/cell.

a = 3.292 Å, b = 4.552 Å, c = 8.927 Å
α = 90.00°, β = 90.00°, γ = 90.00°
Space group Cmmm (No. 65)
Symmetry-distinct sites (fractional):
1 As 0.000 0.000 0.000 x2
2 P 0.000 0.500 0.289 x4
3 W 0.000 0.000 0.500 x2

First-principles (PBE) data for a geometry-optimized AsP2W structure, as listed in Alexandria via LeMat-Bulk.

Output
The formation energy from the elements comes out at 0.23 eV per atom. The density of states at the Fermi level comes out at 2.5 states/eV/f.u. As for the calculated volume: 131 Å³/cell.

a = 8.259 Å, b = 3.215 Å, c = 4.932 Å
α = 90.00°, β = 94.24°, γ = 90.00°
Space group C2/m (No. 12)
Symmetry-distinct sites (fractional):
1 As 0.000 0.000 0.000 x2
2 P 0.218 0.000 0.686 x4
3 W 0.000 0.500 0.500 x2

First-principles (PBE) data for a geometry-optimized AsP4W structure, as listed in Alexandria via LeMat-Bulk.

Output
The formation energy from the elements comes out at 0.95 eV per atom. The density of states at the Fermi level comes out at 5.7 states/eV/f.u. As for the calculated volume: 358 Å³/cell.

a = 7.103 Å, b = 7.103 Å, c = 7.103 Å
α = 90.00°, β = 90.00°, γ = 90.00°
Space group F-43m (No. 216)
Symmetry-distinct sites (fractional):
1 As 0.000 0.000 0.000 x4
2 P 0.125 0.125 0.625 x16
3 W 0.250 0.250 0.250 x4

First-principles (PBE) data for a geometry-optimized As3PW structure, as listed in Alexandria via LeMat-Bulk.

Output
The formation energy from the elements comes out at 0.88 eV per atom. The density of states at the Fermi level comes out at 4.5 states/eV/f.u. The energy above the most stable polymorph in this dataset is 0.000 eV per atom. As for the calculated volume: 116 Å³/cell.

a = 4.875 Å, b = 4.875 Å, c = 4.875 Å
α = 90.00°, β = 90.00°, γ = 90.00°
Space group Pm-3m (No. 221)
Symmetry-distinct sites (fractional):
1 As 0.000 0.000 0.500 x3
2 P 0.500 0.500 0.500 x1
3 W 0.000 0.000 0.000 x1